Record 1
Material: HgSb2
Method: DFT, PBE
State: relaxed

Cell lengths 5.4387, 5.4387, 3.2244 Å; angles 90.00, 90.00, 120.00 degrees
With the nearest neighbours (Å) after each atom.
Element x y z (fractional)
Sb 0.6667 0.3333 0.4998  5 Sb 3.14-3.22
Sb 0.3333 0.6667 0.5002  5 Sb 3.14-3.22
Hg 0.0000 0.0000 0.0000  2 Hg 3.22, 12 Sb 3.53

Calculated values
Theoretical density in g/cm³: 8.93
Magnetic moment in μB/atom: 0.0000
Energy in eV per atom: -2.72
Formation energy (no corrections) in meV/atom: 126
Energy above the most stable polymorph in this dataset in meV/atom: 90
Space group: P6/mmm, No. 191



Record 2
Material: HgSb2
Method: DFT, PBE
State: relaxed

Cell lengths 7.0232, 7.0232, 8.1721 Å; angles 66.09, 66.09, 28.26 degrees
With the nearest neighbours (Å) after each atom.
Element x y z (fractional)
Sb 0.7498 0.7498 0.7457  3 Sb 2.94-3.13, 3 Hg 3.18-3.26
Sb 0.2502 0.2502 0.2543  3 Sb 2.94-3.13, 3 Hg 3.18-3.26
Sb 0.4053 0.4053 0.4196  3 Sb 2.94-3.13, 2 Hg 3.26
Sb 0.5947 0.5947 0.5804  3 Sb 2.94-3.13, 2 Hg 3.26
Hg 0.9214 0.9214 0.9154  1 Hg 3.00, 5 Sb 3.18-3.26
Hg 0.0786 0.0786 0.0846  1 Hg 3.00, 5 Sb 3.18-3.26

Calculated values
Theoretical density in g/cm³: 8.51
Magnetic moment in μB/atom: 0.0000
Energy in eV per atom: -2.73
Formation energy (no corrections) in meV/atom: 116
Energy above the most stable polymorph in this dataset in meV/atom: 80
Space group: C2/m, No. 12



Record 3
Material: Hg3Sb4
Method: DFT, PBE
State: relaxed

Cell lengths 14.9147, 14.9147, 14.9147 Å; angles 165.53, 165.53, 20.51 degrees
With the nearest neighbours (Å) after each atom.
Element x y z (fractional)
Sb 0.5820 0.5820 0.0000  4 Sb 3.06
Sb 0.1338 0.1338 0.0000  4 Sb 3.06
Sb 0.4180 0.4180 0.0000  4 Sb 3.06
Sb 0.8662 0.8662 0.0000  4 Sb 3.06
Hg 0.7174 0.7174 0.0000  4 Hg 3.27, 4 Sb 3.62
Hg 0.0000 0.0000 0.0000  10 Sb 3.58-3.93, 4 Hg 3.76
Hg 0.2826 0.2826 0.0000  4 Hg 3.27, 4 Sb 3.62

Calculated values
Theoretical density in g/cm³: 8.73
Magnetic moment in μB/atom: 0.0000
Energy in eV per atom: -2.33
Formation energy (no corrections) in meV/atom: 157
Energy above the most stable polymorph in this dataset in meV/atom: 0
Space group: I4/mmm, No. 139



Record 4
Material: Hg3Sb
Method: DFT, PBE
State: relaxed

Cell lengths 6.3489, 6.3489, 6.3489 Å; angles 148.65, 127.42, 62.50 degrees
With the nearest neighbours (Å) after each atom.
Element x y z (fractional)
Sb 0.5000 0.0000 0.5000  8 Hg 3.22-3.29, 2 Sb 3.43
Hg 0.0000 0.5000 0.5000  6 Hg 3.20-3.43, 4 Sb 3.29
Hg 0.2491 0.2491 0.0000  8 Hg 3.20-3.43, 2 Sb 3.22
Hg 0.7509 0.7509 0.0000  8 Hg 3.20-3.43, 2 Sb 3.22

Calculated values
Theoretical density in g/cm³: 11.47
Magnetic moment in μB/atom: 0.0000
Energy in eV per atom: -1.10
Formation energy (no corrections) in meV/atom: 158
Energy above the most stable polymorph in this dataset in meV/atom: 72
Space group: Immm, No. 71



Record 5
Material: HgSb3
Method: DFT, PBE
State: relaxed

Cell lengths 11.3976, 11.3976, 11.3976 Å; angles 16.91, 16.91, 16.91 degrees
With the nearest neighbours (Å) after each atom.
Element x y z (fractional)
Sb 0.7519 0.7519 0.7519  9 Sb 3.35-3.36, 3 Hg 3.46
Sb 0.2481 0.2481 0.2481  9 Sb 3.35-3.36, 3 Hg 3.46
Sb 0.5000 0.5000 0.5000  12 Sb 3.35-3.36
Hg 0.0000 0.0000 0.0000  6 Hg 3.35, 6 Sb 3.46

Calculated values
Theoretical density in g/cm³: 8.60
Magnetic moment in μB/atom: 0.0000
Energy in eV per atom: -2.93
Formation energy (no corrections) in meV/atom: 242
Energy above the most stable polymorph in this dataset in meV/atom: 115
Space group: R-3m, No. 166



Record 6
Material: HgSb3
Method: DFT, PBE
State: relaxed

Cell lengths 8.4442, 7.2188, 7.6276 Å; angles 90.00, 90.00, 90.00 degrees
With the nearest neighbours (Å) after each atom.
Element x y z (fractional)
Sb 0.3743 0.4260 0.7500  6 Sb 3.07-3.13
Sb 0.1257 0.9260 0.7500  6 Sb 3.07-3.13
Sb 0.8742 0.7470 0.5069  3 Hg 3.04-3.11, 3 Sb 3.07-3.13
Sb 0.8742 0.7470 0.9931  3 Hg 3.04-3.11, 3 Sb 3.07-3.13
Sb 0.3742 0.7530 0.0069  3 Hg 3.04-3.11, 3 Sb 3.07-3.13
Sb 0.1258 0.2530 0.4931  3 Hg 3.04-3.11, 3 Sb 3.07-3.13
Sb 0.6258 0.2470 0.5069  3 Hg 3.04-3.11, 3 Sb 3.07-3.13
Sb 0.6257 0.5740 0.2500  6 Sb 3.07-3.13
Sb 0.3742 0.7530 0.4931  3 Hg 3.04-3.11, 3 Sb 3.07-3.13
Sb 0.1258 0.2530 0.0069  3 Hg 3.04-3.11, 3 Sb 3.07-3.13
Sb 0.8743 0.0740 0.2500  6 Sb 3.07-3.13
Sb 0.6258 0.2470 0.9931  3 Hg 3.04-3.11, 3 Sb 3.07-3.13
Hg 0.6208 0.9009 0.7500  6 Sb 3.04-3.11
Hg 0.8792 0.4009 0.7500  6 Sb 3.04-3.11
Hg 0.1208 0.5991 0.2500  6 Sb 3.04-3.11
Hg 0.3792 0.0991 0.2500  6 Sb 3.04-3.11

Calculated values
Theoretical density in g/cm³: 8.08
Magnetic moment in μB/atom: 0.0000
Energy in eV per atom: -3.02
Formation energy (no corrections) in meV/atom: 149
Energy above the most stable polymorph in this dataset in meV/atom: 23
Space group: Pnma, No. 62



Record 7
Material: HgSb5
Method: DFT, PBE
State: relaxed

Cell lengths 6.9566, 6.9566, 7.4734 Å; angles 57.77, 57.77, 36.73 degrees
With the nearest neighbours (Å) after each atom.
Element x y z (fractional)
Sb 0.1071 0.1071 0.2741  1 Hg 3.01, 5 Sb 3.10-3.12
Sb 0.6216 0.6216 0.7644  4 Sb 2.96-3.13, 2 Hg 3.19
Sb 0.2670 0.2670 0.4583  4 Sb 2.96-3.13, 2 Hg 3.19
Sb 0.7821 0.7821 0.9476  1 Hg 3.01, 5 Sb 3.10-3.12
Sb 0.4446 0.4446 0.6108  6 Sb 3.11-3.13
Hg 0.9443 0.9443 0.1114  6 Sb 3.01-3.19

Calculated values
Theoretical density in g/cm³: 7.51
Magnetic moment in μB/atom: 0.0000
Energy in eV per atom: -3.44
Formation energy (no corrections) in meV/atom: 51
Energy above the most stable polymorph in this dataset in meV/atom: 0
Space group: C2/m, No. 12



Record 8
Material: Sc2HgSb
Method: DFT, PBE
State: relaxed

Cell lengths 4.7887, 4.7917, 3.9386 Å; angles 90.00, 90.00, 90.00 degrees
With the nearest neighbours (Å) after each atom.
Element x y z (fractional)
Hg 0.5000 0.0000 0.5000  8 Sc 3.10, 4 Sb 3.39
Sb 0.0000 0.5000 0.5000  8 Sc 3.10, 4 Hg 3.39
Sc 0.0000 0.0000 0.0000  4 Hg 3.10, 4 Sb 3.10, 4 Sc 3.39
Sc 0.5000 0.5000 0.0000  4 Sb 3.10, 4 Hg 3.10, 4 Sc 3.39

Calculated values
Theoretical density in g/cm³: 7.57
Magnetic moment in μB/atom: 0.1730
Energy in eV per atom: -4.82
Formation energy (no corrections) in meV/atom: -546
Energy above the most stable polymorph in this dataset in meV/atom: 15
Space group: P4/mmm, No. 123



Record 9
Material: ScHgSb2
Method: DFT, PBE
State: relaxed

Cell lengths 5.4097, 5.4097, 3.3375 Å; angles 90.00, 90.00, 90.11 degrees
With the nearest neighbours (Å) after each atom.
Element x y z (fractional)
Sc 0.5000 0.0000 0.5000  8 Sb 3.18, 2 Sc 3.34
Sb 0.5000 0.5000 0.0000  4 Hg 3.18, 4 Sc 3.18, 2 Sb 3.34
Sb 0.0000 0.0000 0.0000  4 Sc 3.18, 4 Hg 3.18, 2 Sb 3.34
Hg 0.0000 0.5000 0.5000  8 Sb 3.18, 2 Hg 3.34

Calculated values
Theoretical density in g/cm³: 8.31
Magnetic moment in μB/atom: 0.0000
Energy in eV per atom: -3.96
Formation energy (no corrections) in meV/atom: -241
Space group: Cmmm, No. 65



Record 10
Material: ScHgSb2
Method: DFT, PBE
State: relaxed

Cell lengths 11.3224, 11.3224, 11.3224 Å; angles 17.24, 17.24, 17.24 degrees
With the nearest neighbours (Å) after each atom.
Element x y z (fractional)
Sb 0.5133 0.5133 0.5133  3 Sc 3.05, 6 Sb 3.39
Sb 0.9867 0.9867 0.9867  3 Sc 3.05, 6 Sb 3.39
Sc 0.2500 0.2500 0.2500  6 Sb 3.05, 6 Sc 3.39
Hg 0.7500 0.7500 0.7500  6 Hg 3.39, 6 Sb 3.78

Calculated values
Theoretical density in g/cm³: 7.30
Magnetic moment in μB/atom: 0.0000
Energy in eV per atom: -3.95
Formation energy (no corrections) in meV/atom: -233
Space group: R-3m, No. 166



Record 11
Material: Sc2Hg2Sb
Method: DFT, PBE
State: relaxed

Cell lengths 7.9547, 7.9547, 3.7136 Å; angles 90.00, 90.00, 90.00 degrees
With the nearest neighbours (Å) after each atom.
Element x y z (fractional)
Sc 0.1684 0.6684 0.5000  6 Hg 2.93-3.03
Sc 0.6684 0.8316 0.5000  6 Hg 2.93-3.03
Sc 0.8316 0.3316 0.5000  6 Hg 2.93-3.03
Sc 0.3316 0.1684 0.5000  6 Hg 2.93-3.03
Hg 0.6304 0.1304 0.0000  6 Sc 2.93-3.03, 1 Hg 2.93, 2 Sb 3.12
Hg 0.3696 0.8696 0.0000  6 Sc 2.93-3.03, 1 Hg 2.93, 2 Sb 3.12
Hg 0.1304 0.3696 0.0000  6 Sc 2.93-3.03, 1 Hg 2.93, 2 Sb 3.12
Hg 0.8696 0.6304 0.0000  6 Sc 2.93-3.03, 1 Hg 2.93, 2 Sb 3.12
Sb 0.5000 0.5000 0.0000  4 Hg 3.12
Sb 0.0000 0.0000 0.0000  4 Hg 3.12

Calculated values
Theoretical density in g/cm³: 8.66
Magnetic moment in μB/atom: 0.0000
Energy in eV per atom: -3.78
Formation energy (no corrections) in meV/atom: -300
Energy above the most stable polymorph in this dataset in meV/atom: 57
Space group: P4/mbm, No. 127



Record 12
Material: ScHgSb2
Method: DFT, PBE
State: relaxed

Cell lengths 6.1720, 6.1720, 6.1720 Å; angles 139.53, 139.53, 58.57 degrees
With the nearest neighbours (Å) after each atom.
Element x y z (fractional)
Sb 0.0000 0.0000 0.0000  4 Sc 3.02
Sb 0.2500 0.7500 0.5000  4 Hg 3.02
Hg 0.7500 0.2500 0.5000  4 Sb 3.02
Sc 0.5000 0.5000 0.0000  4 Sb 3.02

Calculated values
Theoretical density in g/cm³: 8.27
Magnetic moment in μB/atom: 0.0000
Energy in eV per atom: -3.99
Formation energy (no corrections) in meV/atom: -274
Space group: I-4m2, No. 119